*P*
! Ti2SnI, relaxed, DFT PBE; values from VASP
&SYSTEM
  ibrav = 0, nat = 8, ntyp = 3
/
ATOMIC_SPECIES
Ti 47.87 Ti.upf
Sn 118.71 Sn.upf
I 126.90 I.upf
CELL_PARAMETERS angstrom
-2.7517 2.7517 7.8315
2.7517 -2.7517 7.8315
2.7517 2.7517 -7.8315
ATOMIC_POSITIONS angstrom
Ti 4.1276 1.2840 -1.9579
Ti 1.2840 1.3759 1.9579
Ti -1.3759 1.4677 5.8736
Ti 1.4677 1.3759 9.7894
Sn 0.0000 0.0000 0.0000
Sn 0.0000 2.7517 3.9158
I 2.7517 0.0000 3.9158
I 0.0000 0.0000 7.8315
! SG   No. 122



*Q*
! Ti2SnI, relaxed, DFT PBE; values from VASP
&SYSTEM
  ibrav = 0, nat = 4, ntyp = 3
/
ATOMIC_SPECIES
Ti 47.87 Ti.upf
Sn 118.71 Sn.upf
I 126.90 I.upf
CELL_PARAMETERS angstrom
0.0000 3.4510 3.4510
3.4510 0.0000 3.4510
3.4510 3.4510 0.0000
ATOMIC_POSITIONS angstrom
Ti 1.7255 1.7255 1.7255
Ti 5.1765 5.1765 5.1765
Sn 0.0000 0.0000 0.0000
I 3.4510 3.4510 3.4510
! SG   No. 225



Result of the stability comparison: *P* is the least stable of them.



*P*
! TiSn2I2, relaxed, DFT PBE; values from VASP
&SYSTEM
  ibrav = 0, nat = 5, ntyp = 3
/
ATOMIC_SPECIES
Ti 47.87 Ti.upf
Sn 118.71 Sn.upf
I 126.90 I.upf
CELL_PARAMETERS angstrom
-1.9782 1.9782 12.2696
1.9782 -1.9782 12.2696
1.9782 1.9782 -12.2696
ATOMIC_POSITIONS angstrom
Ti 0.0000 0.0000 0.0000
Sn 1.9782 0.0000 6.1348
Sn 0.0000 1.9782 6.1348
I 0.0000 0.0000 10.5140
I 0.0000 0.0000 14.0251
! SG   No. 139



*Q*
! TiSn2I2, relaxed, DFT PBE; values from VASP
&SYSTEM
  ibrav = 0, nat = 10, ntyp = 3
/
ATOMIC_SPECIES
Ti 47.87 Ti.upf
Sn 118.71 Sn.upf
I 126.90 I.upf
CELL_PARAMETERS angstrom
7.3287 0.0000 0.0000
0.0000 7.3287 0.0000
0.0000 0.0000 6.3706
ATOMIC_POSITIONS angstrom
Ti 0.0000 0.0000 0.0000
Ti 3.6644 3.6644 0.0000
Sn 1.7429 1.9215 3.1853
Sn 1.9215 5.5858 3.1853
Sn 5.4073 1.7429 3.1853
Sn 5.5858 5.4073 3.1853
I 1.2635 2.4009 0.0000
I 2.4009 6.0653 0.0000
I 4.9278 1.2635 0.0000
I 6.0653 4.9278 0.0000
! SG   No. 127



Result of the stability comparison: *Q* is the least stable of them.



*P*
! TiSn3I, relaxed, DFT PBE; values from VASP
&SYSTEM
  ibrav = 0, nat = 5, ntyp = 3
/
ATOMIC_SPECIES
Ti 47.87 Ti.upf
Sn 118.71 Sn.upf
I 126.90 I.upf
CELL_PARAMETERS angstrom
5.7270 0.0000 0.0000
0.0000 5.7270 0.0000
0.0000 0.0000 5.7270
ATOMIC_POSITIONS angstrom
Ti 0.0000 0.0000 0.0000
Sn 0.0000 2.8635 2.8635
Sn 2.8635 0.0000 2.8635
Sn 2.8635 2.8635 0.0000
I 2.8635 2.8635 2.8635
! SG   No. 221



*Q*
! TiSn3I, relaxed, DFT PBE; values from VASP
&SYSTEM
  ibrav = 0, nat = 5, ntyp = 3
/
ATOMIC_SPECIES
Ti 47.87 Ti.upf
Sn 118.71 Sn.upf
I 126.90 I.upf
CELL_PARAMETERS angstrom
5.4316 0.0000 0.0000
0.0000 5.4316 0.0000
0.0000 0.0000 5.4316
ATOMIC_POSITIONS angstrom
Ti 0.0000 0.0000 0.0000
Sn 0.0000 0.0000 2.7158
Sn 0.0000 2.7158 0.0000
Sn 2.7158 0.0000 0.0000
I 2.7158 2.7158 2.7158
! SG   No. 221



Result of the stability comparison: *P* is the least stable of them.



*P*
! TlSnI2, relaxed, DFT PBE; values from VASP
&SYSTEM
  ibrav = 0, nat = 8, ntyp = 3
/
ATOMIC_SPECIES
Tl 204.38 Tl.upf
Sn 118.71 Sn.upf
I 126.90 I.upf
CELL_PARAMETERS angstrom
-3.1914 3.1914 9.7076
3.1914 -3.1914 9.7076
3.1914 3.1914 -9.7076
ATOMIC_POSITIONS angstrom
Tl 0.0000 0.0000 0.0000
Tl 0.0000 3.1914 4.8538
Sn 3.1914 0.0000 4.8538
Sn 0.0000 0.0000 9.7076
I 1.5957 -1.3642 7.2807
I 1.8272 1.5957 2.4269
I 1.5957 4.5556 -2.4269
I 1.3642 1.5957 12.1346
! SG   No. 122



*Q*
! TlSnI2, relaxed, DFT PBE; values from VASP
&SYSTEM
  ibrav = 0, nat = 4, ntyp = 3
/
ATOMIC_SPECIES
Tl 204.38 Tl.upf
Sn 118.71 Sn.upf
I 126.90 I.upf
CELL_PARAMETERS angstrom
2.6100 1.5069 6.7206
-2.6100 1.5069 6.7206
0.0000 -3.0138 6.7206
ATOMIC_POSITIONS angstrom
Tl 0.0000 0.0000 0.0000
Sn 0.0000 0.0000 10.0809
I 0.0000 0.0000 4.8557
I 0.0000 0.0000 15.3061
! SG   No. 166



Result of the stability comparison: *P* is the least stable of them.



*P*
! USnI6, relaxed, DFT PBE; values from VASP
&SYSTEM
  ibrav = 0, nat = 16, ntyp = 3
/
ATOMIC_SPECIES
U 238.03 U.upf
Sn 118.71 Sn.upf
I 126.90 I.upf
CELL_PARAMETERS angstrom
7.6739 0.0000 0.0000
-3.8369 6.6458 0.0000
0.0000 0.0000 14.1388
ATOMIC_POSITIONS angstrom
U 0.0000 0.0000 0.0000
U 0.0000 0.0000 7.0694
Sn 0.0000 4.4305 3.5347
Sn 3.8369 2.2153 10.6041
I -1.1900 2.1749 12.4171
I -2.5484 4.5278 8.7910
I 1.1900 2.1749 8.7910
I -1.3584 6.5889 12.4171
I 2.4785 0.0569 5.3477
I 1.2885 2.1180 1.7216
I 2.5484 4.5278 12.4171
I 1.3584 6.5889 8.7910
I 5.1954 0.0569 1.7216
I 2.6469 4.4709 5.3477
I 6.3854 2.1180 5.3477
I 5.0270 4.4709 1.7216
! SG   No. 163



*Q*
! USnI6, relaxed, DFT PBE; values from VASP
&SYSTEM
  ibrav = 0, nat = 8, ntyp = 3
/
ATOMIC_SPECIES
U 238.03 U.upf
Sn 118.71 Sn.upf
I 126.90 I.upf
CELL_PARAMETERS angstrom
3.8524 -7.0043 0.0000
3.8524 7.0043 0.0000
-2.3212 0.0000 7.3147
ATOMIC_POSITIONS angstrom
U 0.0000 0.0000 0.0000
Sn 2.6918 0.0000 3.6574
I 1.2443 2.1159 1.7683
I 0.1270 0.0000 5.5781
I 1.2443 -2.1159 1.7683
I 4.1394 2.1159 5.5465
I 5.2566 0.0000 1.7366
I 4.1394 -2.1159 5.5465
! SG   No. 12



Result of the stability comparison: *P* is the least stable of them.



*P*
! VSn2I, relaxed, DFT PBE; values from VASP
&SYSTEM
  ibrav = 0, nat = 4, ntyp = 3
/
ATOMIC_SPECIES
V 50.94 V.upf
Sn 118.71 Sn.upf
I 126.90 I.upf
CELL_PARAMETERS angstrom
0.0000 3.7720 3.7720
3.7720 0.0000 3.7720
3.7720 3.7720 0.0000
ATOMIC_POSITIONS angstrom
V 0.0000 0.0000 0.0000
Sn 1.8860 1.8860 1.8860
Sn 5.6579 5.6579 5.6579
I 3.7720 3.7720 3.7720
! SG   No. 225



*Q*
! VSn2I, relaxed, DFT PBE; values from VASP
&SYSTEM
  ibrav = 0, nat = 8, ntyp = 3
/
ATOMIC_SPECIES
V 50.94 V.upf
Sn 118.71 Sn.upf
I 126.90 I.upf
CELL_PARAMETERS angstrom
-2.7777 2.7777 8.9501
2.7777 -2.7777 8.9501
2.7777 2.7777 -8.9501
ATOMIC_POSITIONS angstrom
V 0.0000 0.0000 0.0000
V 0.0000 2.7777 4.4751
Sn 0.6505 1.3888 2.2375
Sn -1.3888 2.1271 6.7126
Sn -0.6505 4.1665 2.2375
Sn 1.3888 3.4282 6.7126
I 2.7777 0.0000 4.4751
I 0.0000 0.0000 8.9501
! SG   No. 122



Result of the stability comparison: *P* is the least stable of them.



*P*
! VSn2I2, relaxed, DFT PBE; values from VASP
&SYSTEM
  ibrav = 0, nat = 5, ntyp = 3
/
ATOMIC_SPECIES
V 50.94 V.upf
Sn 118.71 Sn.upf
I 126.90 I.upf
CELL_PARAMETERS angstrom
-1.9890 1.9890 11.5070
1.9890 -1.9890 11.5070
1.9890 1.9890 -11.5070
ATOMIC_POSITIONS angstrom
V 0.0000 0.0000 0.0000
Sn 1.9890 0.0000 5.7535
Sn 0.0000 1.9890 5.7535
I 0.0000 0.0000 9.7714
I 0.0000 0.0000 13.2426
! SG   No. 139



*Q*
! VSn2I2, relaxed, DFT PBE; values from VASP
&SYSTEM
  ibrav = 0, nat = 10, ntyp = 3
/
ATOMIC_SPECIES
V 50.94 V.upf
Sn 118.71 Sn.upf
I 126.90 I.upf
CELL_PARAMETERS angstrom
7.2717 0.0000 0.0000
0.0000 7.2717 0.0000
0.0000 0.0000 6.4003
ATOMIC_POSITIONS angstrom
V 0.0000 0.0000 0.0000
V 3.6359 3.6359 0.0000
Sn 1.6472 1.9887 3.2002
Sn 1.9887 5.6245 3.2002
Sn 5.2830 1.6472 3.2002
Sn 5.6245 5.2830 3.2002
I 1.2603 2.3755 0.0000
I 2.3755 6.0114 0.0000
I 4.8962 1.2603 0.0000
I 6.0114 4.8962 0.0000
! SG   No. 127



Result of the stability comparison: *P* is the least stable of them.



*P*
! VSn3I, relaxed, DFT PBE; values from VASP
&SYSTEM
  ibrav = 0, nat = 5, ntyp = 3
/
ATOMIC_SPECIES
V 50.94 V.upf
Sn 118.71 Sn.upf
I 126.90 I.upf
CELL_PARAMETERS angstrom
5.2916 0.0000 0.0000
0.0000 5.2916 0.0000
0.0000 0.0000 5.2916
ATOMIC_POSITIONS angstrom
V 0.0000 0.0000 0.0000
Sn 0.0000 0.0000 2.6458
Sn 0.0000 2.6458 0.0000
Sn 2.6458 0.0000 0.0000
I 2.6458 2.6458 2.6458
! SG   No. 221



*Q*
! VSn3I, relaxed, DFT PBE; values from VASP
&SYSTEM
  ibrav = 0, nat = 5, ntyp = 3
/
ATOMIC_SPECIES
V 50.94 V.upf
Sn 118.71 Sn.upf
I 126.90 I.upf
CELL_PARAMETERS angstrom
5.7993 0.0000 0.0000
0.0000 5.7993 0.0000
0.0000 0.0000 5.7993
ATOMIC_POSITIONS angstrom
V 0.0000 0.0000 0.0000
Sn 0.0000 2.8996 2.8996
Sn 2.8996 0.0000 2.8996
Sn 2.8996 2.8996 0.0000
I 2.8996 2.8996 2.8996
! SG   No. 221



Result of the stability comparison: *Q* is the least stable of them.